No. 1
The following is a DFT calculation (GGA-PBE) of crystalline ScNi2H8 at its relaxed geometry.

Values from the calculation:
Relative energy among the computed polymorphs ... 0.000 eV/atom
E ... -4.17 eV/atom

a b c (Å): 5.1066 5.1066 3.3450
angles (deg): 109.11 109.11 82.21
With the nearest neighbours (Å) after each atom.
Element x y z (fractional)
Sc 0.0000 0.0000 0.0000  10 H 2.10-2.20
Ni 0.3151 0.6849 0.5000  6 H 1.55-1.67
Ni 0.6849 0.3151 0.5000  6 H 1.55-1.67
H 0.0056 0.2962 0.6518  1 Ni 1.55
H 0.2962 0.0056 0.6518  1 Ni 1.55
H 0.3133 0.6867 0.0000  2 Ni 1.67
H 0.3441 0.3441 0.3422  2 Ni 1.65
H 0.6559 0.6559 0.6578  2 Ni 1.65
H 0.6867 0.3133 0.0000  2 Ni 1.67
H 0.7038 0.9944 0.3482  1 Ni 1.55
H 0.9944 0.7038 0.3482  1 Ni 1.55


No. 2
The following is a DFT calculation (GGA-PBE) of crystalline ScNiH3 at its relaxed geometry.

Values from the calculation:
E ... -4.42 eV/atom

a b c (Å): 3.1785 3.1785 9.9206
angles (deg): 90.00 90.00 120.00
With the nearest neighbours (Å) after each atom.
Element x y z (fractional)
Sc 0.3333 0.6667 0.2500  5 H 1.84-2.04
Sc 0.6667 0.3333 0.7500  5 H 1.84-2.04
Ni 0.0000 0.0000 0.0000  6 H 1.89
Ni 0.0000 0.0000 0.5000  6 H 1.89
H 0.0000 0.0000 0.2500  3 Sc 1.84
H 0.0000 0.0000 0.7500  3 Sc 1.84
H 0.3333 0.6667 0.0444  3 Ni 1.89, 3 H 2.04, 1 Sc 2.04
H 0.3333 0.6667 0.4556  3 Ni 1.89, 3 H 2.04, 1 Sc 2.04
H 0.6667 0.3333 0.5444  3 Ni 1.89, 3 H 2.04, 1 Sc 2.04
H 0.6667 0.3333 0.9556  3 Ni 1.89, 3 H 2.04, 1 Sc 2.04